# 1
Here is Hf4ZrMo after structural relaxation from Alexandria via LeMat-Bulk. Energies are from PBE.

Properties
Symmetry: C2/m (12)
Energy relative to the elements in eV/atom: 0.00
ρ in g/cm3: 11.726

Cell lengths 3.389, 5.730, 7.655 Å; angles 64.70, 77.21, 72.80 degrees
Fractional coordinates of all 6 atoms:
1 Zr 0.000 0.500 0.500
2 Hf 0.646 0.566 0.142
3 Hf 0.334 0.026 0.307
4 Hf 0.666 0.974 0.693
5 Hf 0.354 0.434 0.858
6 Mo 0.000 0.000 0.000

# 2
Here is Hf2ZrMo2 after structural relaxation from Alexandria via LeMat-Bulk. Energies are from PBE.

Properties
Symmetry: P4/mbm (127)
Energy relative to the elements in eV/atom: 0.16
ρ in g/cm3: 10.605

Cell lengths 7.580, 7.580, 3.489 Å; angles 90.00, 90.00, 90.00 degrees
Fractional coordinates of all 10 atoms:
1 Hf 0.852 0.352 0.500
2 Hf 0.352 0.148 0.500
3 Hf 0.148 0.648 0.500
4 Hf 0.648 0.852 0.500
5 Mo 0.151 0.349 0.000
6 Mo 0.349 0.849 0.000
7 Mo 0.849 0.651 0.000
8 Mo 0.651 0.151 0.000
9 Zr 0.000 0.000 0.000
10 Zr 0.500 0.500 0.000

# 3
Here is HfZr2Mo2 after structural relaxation from Alexandria via LeMat-Bulk. Energies are from PBE.

Properties
Symmetry: P4/mbm (127)
Energy relative to the elements in eV/atom: 0.22
ρ in g/cm3: 9.054

Cell lengths 7.541, 7.541, 3.566 Å; angles 90.00, 90.00, 90.00 degrees
Fractional coordinates of all 10 atoms:
1 Mo 0.147 0.353 0.000
2 Mo 0.647 0.147 0.000
3 Mo 0.353 0.853 0.000
4 Mo 0.853 0.647 0.000
5 Zr 0.846 0.346 0.500
6 Zr 0.346 0.154 0.500
7 Zr 0.654 0.846 0.500
8 Zr 0.154 0.654 0.500
9 Hf 0.000 0.000 0.000
10 Hf 0.500 0.500 0.000

# 4
Here is HfZrMo after structural relaxation from Alexandria via LeMat-Bulk. Energies are from PBE.

Properties
Symmetry: P3m1 (156)
Energy relative to the elements in eV/atom: 0.01
ρ in g/cm3: 10.233

Cell lengths 3.097, 4.704, 4.704 Å; angles 120.00, 90.00, 90.00 degrees
Fractional coordinates of all 3 atoms:
1 Zr 0.279 0.333 0.667
2 Hf 0.719 0.667 0.333
3 Mo 0.002 0.000 0.000

# 5
Here is HfZrMo after structural relaxation from Alexandria via LeMat-Bulk. Energies are from PBE.

Properties
Symmetry: I4mm (107)
Energy relative to the elements in eV/atom: -0.01
ρ in g/cm3: 10.077

Cell lengths 3.389, 3.389, 5.766 Å; angles 107.09, 107.09, 90.00 degrees
Fractional coordinates of all 3 atoms:
1 Hf 0.315 0.315 0.630
2 Mo 0.668 0.668 0.337
3 Zr 0.017 0.017 0.034

# 6
Here is HfZrMo after structural relaxation from Alexandria via LeMat-Bulk. Energies are from PBE.

Properties
Symmetry: I4/mmm (139)
Energy relative to the elements in eV/atom: 0.07
ρ in g/cm3: 9.505

Cell lengths 3.179, 3.179, 12.843 Å; angles 97.11, 97.11, 90.00 degrees
Fractional coordinates of all 6 atoms:
1 Mo 0.279 0.279 0.557
2 Mo 0.721 0.721 0.443
3 Zr 0.436 0.436 0.873
4 Zr 0.564 0.564 0.127
5 Hf 0.148 0.148 0.296
6 Hf 0.852 0.852 0.704

# 7
Here is HfZrMo4 after structural relaxation from Alexandria via LeMat-Bulk. Energies are from PBE.

Properties
Symmetry: F-43m (216)
Energy relative to the elements in eV/atom: -0.17
ρ in g/cm3: 9.908

Cell lengths 5.370, 5.370, 5.370 Å; angles 60.00, 60.00, 60.00 degrees
Fractional coordinates of all 6 atoms:
1 Mo 0.625 0.625 0.125
2 Mo 0.625 0.625 0.625
3 Mo 0.125 0.625 0.625
4 Mo 0.625 0.125 0.625
5 Hf 0.250 0.250 0.250
6 Zr 0.000 0.000 0.000

# 8
Here is Hf3N4 after structural relaxation from Alexandria via LeMat-Bulk. Energies are from PBE.

Properties
Symmetry: R-3m (166)
ρ in g/cm3: 11.603
Formation energy from raw total energies in eV per atom: -1.597

Cell lengths 8.638, 8.638, 8.638 Å; angles 22.76, 22.76, 22.76 degrees
Fractional coordinates of all 7 atoms:
1 N 0.622 0.622 0.622
2 N 0.378 0.378 0.378
3 N 0.132 0.132 0.132
4 N 0.868 0.868 0.868
5 Hf 0.222 0.222 0.222
6 Hf 0.778 0.778 0.778
7 Hf 0.000 0.000 0.000

# 9
Here is Hf3N4 after structural relaxation from Alexandria via LeMat-Bulk. Energies are from PBE.

Properties
Symmetry: Fd-3m (227)
ρ in g/cm3: 10.531
Formation energy from raw total energies in eV per atom: -1.656

Cell lengths 6.413, 6.413, 6.413 Å; angles 60.00, 60.00, 60.00 degrees
Fractional coordinates of all 14 atoms:
1 Hf 0.000 0.000 0.000
2 Hf 0.625 0.625 0.125
3 Hf 0.625 0.125 0.625
4 Hf 0.625 0.625 0.625
5 Hf 0.250 0.250 0.250
6 Hf 0.125 0.625 0.625
7 N 0.398 0.867 0.867
8 N 0.383 0.383 0.383
9 N 0.383 0.383 0.852
10 N 0.867 0.398 0.867
11 N 0.867 0.867 0.398
12 N 0.852 0.383 0.383
13 N 0.383 0.852 0.383
14 N 0.867 0.867 0.867

# 10
Here is Hf7N5 after structural relaxation from Alexandria via LeMat-Bulk. Energies are from PBE.

Properties
Symmetry: C2/m (12)
ρ in g/cm3: 12.822
Formation energy from raw total energies in eV per atom: -1.325

Cell lengths 3.161, 5.511, 10.715 Å; angles 106.41, 90.00, 106.67 degrees
Fractional coordinates of all 12 atoms:
1 N 0.885 0.771 0.574
2 N 0.687 0.374 0.874
3 N 0.115 0.229 0.426
4 N 0.000 0.000 0.000
5 N 0.313 0.626 0.126
6 Hf 0.655 0.309 0.065
7 Hf 0.960 0.919 0.215
8 Hf 0.040 0.081 0.785
9 Hf 0.500 0.000 0.500
10 Hf 0.727 0.454 0.374
11 Hf 0.273 0.546 0.626
12 Hf 0.345 0.691 0.935

# 11
Here is Hf4N after structural relaxation from Alexandria via LeMat-Bulk. Energies are from PBE.

Properties
Symmetry: I4_1/amd (141)
ρ in g/cm3: 13.295
Formation energy from raw total energies in eV per atom: -0.385

Cell lengths 6.226, 6.226, 6.226 Å; angles 104.92, 104.92, 119.01 degrees
Fractional coordinates of all 10 atoms:
1 Hf 0.142 0.924 0.782
2 Hf 0.639 0.858 0.782
3 Hf 0.111 0.392 0.718
4 Hf 0.076 0.858 0.218
5 Hf 0.674 0.392 0.282
6 Hf 0.142 0.361 0.218
7 Hf 0.608 0.889 0.282
8 Hf 0.608 0.326 0.718
9 N 0.250 0.750 0.500
10 N 0.500 0.500 0.000

# 12
Here is Hf3N4 after structural relaxation from Alexandria via LeMat-Bulk. Energies are from PBE.

Properties
Symmetry: I-43d (220)
ρ in g/cm3: 12.980
Formation energy from raw total energies in eV per atom: -1.603

Cell lengths 5.815, 5.815, 5.815 Å; angles 109.47, 109.47, 109.47 degrees
Fractional coordinates of all 14 atoms:
1 Hf 0.875 0.250 0.125
2 Hf 0.250 0.125 0.875
3 Hf 0.125 0.875 0.250
4 Hf 0.625 0.750 0.375
5 Hf 0.750 0.375 0.625
6 Hf 0.375 0.625 0.750
7 N 0.000 0.134 0.500
8 N 0.500 0.000 0.634
9 N 0.634 0.500 0.000
10 N 0.366 0.366 0.366
11 N 0.134 0.500 0.000
12 N 0.866 0.866 0.866
13 N 0.500 0.000 0.134
14 N 0.000 0.634 0.500

# 13
Here is Hf4N after structural relaxation from Alexandria via LeMat-Bulk. Energies are from PBE.

Properties
Symmetry: Pm-3m (221)
ρ in g/cm3: 13.190
Formation energy from raw total energies in eV per atom: -0.715

Cell lengths 4.509, 4.509, 4.509 Å; angles 90.00, 90.00, 90.00 degrees
Fractional coordinates of all 5 atoms:
1 Hf 0.500 0.500 0.000
2 Hf 0.000 0.500 0.500
3 Hf 0.500 0.000 0.500
4 Hf 0.000 0.000 0.000
5 N 0.500 0.500 0.500

# 14
Here is Hf2N3 after structural relaxation from Alexandria via LeMat-Bulk. Energies are from PBE.

Properties
Symmetry: Cmcm (63)
ρ in g/cm3: 11.844
Formation energy from raw total energies in eV per atom: -0.946

Cell lengths 2.998, 5.819, 6.637 Å; angles 90.00, 90.00, 104.93 degrees
Fractional coordinates of all 10 atoms:
1 N 0.442 0.884 0.250
2 N 0.347 0.694 0.576
3 N 0.558 0.116 0.750
4 N 0.347 0.694 0.924
5 N 0.653 0.306 0.076
6 N 0.653 0.306 0.424
7 Hf 0.751 0.501 0.750
8 Hf 0.000 0.000 0.000
9 Hf 0.249 0.499 0.250
10 Hf 0.000 0.000 0.500

# 15
Here is Hf3N2 after structural relaxation from Alexandria via LeMat-Bulk. Energies are from PBE.

Properties
Symmetry: R-3m (166)
ρ in g/cm3: 13.387
Formation energy from raw total energies in eV per atom: -1.479

Cell lengths 8.000, 8.000, 8.000 Å; angles 23.22, 23.22, 23.22 degrees
Fractional coordinates of all 5 atoms:
1 Hf 0.221 0.221 0.221
2 Hf 0.000 0.000 0.000
3 Hf 0.779 0.779 0.779
4 N 0.611 0.611 0.611
5 N 0.389 0.389 0.389

# 16
Here is Hf2N3 after structural relaxation from Alexandria via LeMat-Bulk. Energies are from PBE.

Properties
Symmetry: Pnma (62)
ρ in g/cm3: 11.912
Formation energy from raw total energies in eV per atom: -1.275

Cell lengths 3.128, 8.347, 8.522 Å; angles 90.00, 90.00, 90.00 degrees
Fractional coordinates of all 20 atoms:
1 N 0.750 0.058 0.626
2 N 0.250 0.195 0.233
3 N 0.250 0.942 0.374
4 N 0.250 0.305 0.733
5 N 0.750 0.442 0.126
6 N 0.750 0.131 0.955
7 N 0.250 0.558 0.874
8 N 0.250 0.631 0.545
9 N 0.750 0.369 0.455
10 N 0.750 0.695 0.267
11 N 0.750 0.805 0.767
12 N 0.250 0.869 0.045
13 Hf 0.250 0.001 0.814
14 Hf 0.750 0.501 0.686
15 Hf 0.750 0.683 0.006
16 Hf 0.750 0.999 0.186
17 Hf 0.750 0.817 0.506
18 Hf 0.250 0.317 0.994
19 Hf 0.250 0.183 0.494
20 Hf 0.250 0.499 0.314

# 17
Here is Hf3N2 after structural relaxation from Alexandria via LeMat-Bulk. Energies are from PBE.

Properties
Symmetry: R3m (160)
ρ in g/cm3: 13.353
Formation energy from raw total energies in eV per atom: -1.389

Cell lengths 8.157, 8.157, 8.157 Å; angles 22.56, 22.56, 22.56 degrees
Fractional coordinates of all 5 atoms:
1 Hf 0.001 0.001 0.001
2 Hf 0.777 0.777 0.777
3 Hf 0.223 0.223 0.223
4 N 0.613 0.613 0.613
5 N 0.497 0.497 0.497

# 18
Here is Hf3N4 after structural relaxation from Alexandria via LeMat-Bulk. Energies are from PBE.

Properties
Symmetry: Pnma (62)
ρ in g/cm3: 11.506
Formation energy from raw total energies in eV per atom: -1.672

Cell lengths 3.244, 9.816, 10.721 Å; angles 90.00, 90.00, 90.00 degrees
Fractional coordinates of all 28 atoms:
1 N 0.250 0.738 0.215
2 N 0.250 0.238 0.285
3 N 0.250 0.603 0.970
4 N 0.250 0.491 0.725
5 N 0.750 0.762 0.715
6 N 0.750 0.858 0.982
7 N 0.750 0.509 0.275
8 N 0.750 0.358 0.518
9 N 0.750 0.397 0.030
10 N 0.750 0.009 0.225
11 N 0.250 0.103 0.530
12 N 0.750 0.262 0.785
13 N 0.250 0.642 0.482
14 N 0.250 0.142 0.018
15 N 0.750 0.897 0.470
16 N 0.250 0.991 0.775
17 Hf 0.250 0.273 0.646
18 Hf 0.750 0.227 0.146
19 Hf 0.750 0.606 0.093
20 Hf 0.750 0.727 0.354
21 Hf 0.250 0.773 0.854
22 Hf 0.750 0.106 0.407
23 Hf 0.750 0.570 0.625
24 Hf 0.750 0.070 0.875
25 Hf 0.250 0.430 0.375
26 Hf 0.250 0.394 0.907
27 Hf 0.250 0.930 0.125
28 Hf 0.250 0.894 0.593

# 19
Here is Na2HfN after structural relaxation from Alexandria via LeMat-Bulk. Energies are from PBE.

Properties
Symmetry: I-42d (122)
ρ in g/cm3: 3.867
Formation energy from raw total energies in eV per atom: 0.110

Cell lengths 9.973, 9.973, 7.347 Å; angles 47.25, 47.25, 90.00 degrees
Fractional coordinates of all 8 atoms:
1 N 0.250 0.750 0.500
2 N 0.500 0.500 0.000
3 Hf 0.750 0.250 0.500
4 Hf 0.000 0.000 0.000
5 Na 0.875 0.519 0.750
6 Na 0.269 0.125 0.250
7 Na 0.375 0.731 0.750
8 Na 0.481 0.625 0.250

# 20
Here is NaHf2N3 after structural relaxation from Alexandria via LeMat-Bulk. Energies are from PBE.

Properties
Symmetry: P2_1/m (11)
ρ in g/cm3: 9.389
Formation energy from raw total energies in eV per atom: -1.371

Cell lengths 3.240, 5.648, 8.415 Å; angles 104.24, 90.00, 90.00 degrees
Fractional coordinates of all 12 atoms:
1 Na 0.250 0.526 0.844
2 Na 0.750 0.474 0.156
3 Hf 0.250 0.745 0.493
4 Hf 0.750 0.014 0.838
5 Hf 0.750 0.255 0.507
6 Hf 0.250 0.986 0.162
7 N 0.250 0.118 0.650
8 N 0.250 0.190 0.983
9 N 0.750 0.882 0.350
10 N 0.250 0.347 0.360
11 N 0.750 0.653 0.640
12 N 0.750 0.810 0.017

E_tot? In order: -59.2, -98.6, -95.3, -29.3, -29.4, -58.3, -62.8, -74.3, -149.5, -127.2, -100.1, -148.8, -51.7, -99.2, -53.9, -205.0, -53.5, -299.5, -41.0, -108.9 eV for the cell shown.
Magnetization? In order: 0.0, 0.0, 0.0, 0.0, 0.0, 0.0, 0.0, 0.0, 0.0, 0.0, 0.0, 0.0, 0.0, 0.0, 0.0, 0.0, 0.0, 0.0, 0.0, 0.0 μB per formula unit.